[1]
Below is Cr2CoRh after structural relaxation, with properties calculated at the PBEsol level. Values from VASP.

Structure (Quantum ESPRESSO input):
```
&SYSTEM
  ibrav = 0, nat = 4, ntyp = 3
/
ATOMIC_SPECIES
Rh 102.91 Rh.upf
Co 58.93 Co.upf
Cr 52.00 Cr.upf
CELL_PARAMETERS angstrom
3.5595 0.0000 0.0000
0.0000 3.5595 0.0000
-1.7798 -1.7798 3.6041
ATOMIC_POSITIONS angstrom
Rh 0.0000 0.0000 0.0000
Co 1.7798 1.7798 0.0000
Cr 1.7798 0.0000 1.8021
Cr 0.0000 1.7798 1.8021
```

## Properties
D(E_F) = 3.3 states/eV/cell
final energy = -36.4 eV/cell
crystal system = tetragonal
size of the total moment = 0.000 μB/f.u.


[2]
Below is Cr2CoRh after structural relaxation, with properties calculated at the PBEsol level. Values from VASP.

Structure (Quantum ESPRESSO input):
```
&SYSTEM
  ibrav = 0, nat = 4, ntyp = 3
/
ATOMIC_SPECIES
Rh 102.91 Rh.upf
Co 58.93 Co.upf
Cr 52.00 Cr.upf
CELL_PARAMETERS angstrom
-1.3548 -0.3453 -2.1247
-2.1494 -3.3069 1.9080
-2.1109 3.7686 0.7335
ATOMIC_POSITIONS angstrom
Rh -2.8075 0.0582 0.2584
Co -0.6774 -0.1727 -1.0623
Cr -1.0554 1.8843 0.3667
Cr -1.0747 -1.6534 0.9540
```

## Properties
D(E_F) = 3.3 states/eV/cell
final energy = -36.3 eV/cell
crystal system = orthorhombic
size of the total moment = 0.000 μB/f.u.


Summary of energy relative to the lowest polymorph listed for this composition in eV/atom
0.001 0.031
(order as listed above)